[1]
Compound: K2RbReSe4
Source: Alexandria via LeMat-Bulk
Functional: PBE
Structure: optimized geometry

Output
D(E_F)	0.042	states/eV/atom
total moment	2.015	μB per formula unit
uncorrected formation energy	-0.682	eV/atom
theoretical density	3.6	g/cm3

The structure in CIF format:
```
data_K2RbReSe4
_symmetry_space_group_name_H-M 'I -4'
_symmetry_Int_Tables_number 82
_cell_length_a 8.583
_cell_length_b 8.583
_cell_length_c 8.310
_cell_angle_alpha 90.00
_cell_angle_beta 90.00
_cell_angle_gamma 90.00
loop_
_symmetry_equiv_pos_as_xyz
'x,y,z'
'y,-x,-z'
'-x,-y,z'
'-y,x,-z'
'x+1/2,y+1/2,z+1/2'
'y+1/2,-x+1/2,-z+1/2'
'-x+1/2,-y+1/2,z+1/2'
'-y+1/2,x+1/2,-z+1/2'
loop_
_atom_site_label
_atom_site_type_symbol
_atom_site_fract_x
_atom_site_fract_y
_atom_site_fract_z
K1 K 0.000 0.000 0.000
K2 K 0.000 0.500 0.250
Rb1 Rb 0.000 0.500 0.750
Re1 Re 0.000 0.000 0.500
Se1 Se 0.154 0.168 0.339
```



[2]
Compound: KRb2ReSe4
Source: Alexandria via LeMat-Bulk
Functional: PBE
Structure: optimized geometry

Output
D(E_F)	0.070	states/eV/atom
total moment	2.015	μB per formula unit
uncorrected formation energy	-0.692	eV/atom
theoretical density	3.7	g/cm3

The structure in CIF format:
```
data_KRb2ReSe4
_symmetry_space_group_name_H-M 'I -4'
_symmetry_Int_Tables_number 82
_cell_length_a 8.521
_cell_length_b 8.521
_cell_length_c 8.695
_cell_angle_alpha 90.00
_cell_angle_beta 90.00
_cell_angle_gamma 90.00
loop_
_symmetry_equiv_pos_as_xyz
'x,y,z'
'y,-x,-z'
'-x,-y,z'
'-y,x,-z'
'x+1/2,y+1/2,z+1/2'
'y+1/2,-x+1/2,-z+1/2'
'-x+1/2,-y+1/2,z+1/2'
'-y+1/2,x+1/2,-z+1/2'
loop_
_atom_site_label
_atom_site_type_symbol
_atom_site_fract_x
_atom_site_fract_y
_atom_site_fract_z
K1 K 0.000 0.000 0.000
Rb1 Rb 0.000 0.000 0.500
Rb2 Rb 0.000 0.500 0.750
Re1 Re 0.000 0.500 0.250
Se1 Se 0.156 0.670 0.098
```



[3]
Compound: KRbRe2Si
Source: Alexandria via LeMat-Bulk
Functional: PBE
Structure: optimized geometry

Output
D(E_F)	0.989	states/eV/atom
total moment	7.014	μB per formula unit
uncorrected formation energy	3.135	eV/atom
theoretical density	4.5	g/cm3

The structure in CIF format:
```
data_KRbRe2Si
_symmetry_space_group_name_H-M 'P 4/m m m'
_symmetry_Int_Tables_number 123
_symmetry_space_group_name_Hall '-P 4 2'
_cell_length_a 5.802
_cell_length_b 5.802
_cell_length_c 5.760
_cell_angle_alpha 90.00
_cell_angle_beta 90.00
_cell_angle_gamma 90.00
loop_
_atom_site_label
_atom_site_type_symbol
_atom_site_fract_x
_atom_site_fract_y
_atom_site_fract_z
K1 K 0.000 0.000 0.000
Rb1 Rb 0.500 0.500 0.500
Re1 Re 0.000 0.500 0.000
Si1 Si 0.000 0.000 0.500
```



[4]
Compound: KRbTa2Re
Source: Alexandria via LeMat-Bulk
Functional: PBE
Structure: optimized geometry

Output
D(E_F)	0.583	states/eV/atom
DFT formation energy	1.370	eV per atom
total moment	0.782	μB per formula unit
theoretical density	6.8	g/cm3

The structure in CIF format:
```
data_KRbTa2Re
_symmetry_space_group_name_H-M 'P 4/m m m'
_symmetry_Int_Tables_number 123
_symmetry_space_group_name_Hall '-P 4 2'
_cell_length_a 4.914
_cell_length_b 4.914
_cell_length_c 6.754
_cell_angle_alpha 90.00
_cell_angle_beta 90.00
_cell_angle_gamma 90.00
loop_
_atom_site_label
_atom_site_type_symbol
_atom_site_fract_x
_atom_site_fract_y
_atom_site_fract_z
K1 K 0.000 0.000 0.000
Rb1 Rb 0.500 0.500 0.000
Ta1 Ta 0.000 0.500 0.500
Re1 Re 0.500 0.500 0.500
```